w | Material: Li3GeI
Method: DFT, GGA-PBE
State: relaxed

The spin magnetization comes out at 0.0 μB/f.u.

The structure belongs to space group Pm-3m (No. 221); the cell edges are 5.121, 5.121 and 5.121 Å and the angles 90.00°, 90.00° and 90.00°. Symmetry generates all atoms from Li at (0.000, 0.000, 0.500), Ge at (0.500, 0.500, 0.500) and I at (0.000, 0.000, 0.000).


x | Material: Li3GeI
Method: DFT, GGA-PBE
State: relaxed

The spin magnetization comes out at 2.0 μB/f.u.

The structure belongs to space group Pm-3m (No. 221); the cell edges are 5.083, 5.083 and 5.083 Å and the angles 90.00°, 90.00° and 90.00°. Symmetry generates all atoms from Li at (0.000, 0.000, 0.500), Ge at (0.000, 0.000, 0.000) and I at (0.500, 0.500, 0.500).


Energetically preferred structure: x | next structure: +114 meV per atom


w | Material: LiGe2I
Method: DFT, GGA-PBE
State: relaxed

The spin magnetization comes out at 0.0 μB/f.u.

The structure belongs to space group I-42d (No. 122); the cell edges are 3.816, 3.816 and 34.887 Å and the angles 90.00°, 90.00° and 90.00°. Symmetry generates all atoms from Li at (0.000, 0.000, 0.000), Ge at (0.237, 0.250, 0.125) and I at (0.000, 0.000, 0.500).


x | Material: LiGe2I
Method: DFT, GGA-PBE
State: relaxed

The spin magnetization comes out at 0.0 μB/f.u.

The structure belongs to space group Fm-3m (No. 225); the cell edges are 7.209, 7.209 and 7.209 Å and the angles 90.00°, 90.00° and 90.00°. Symmetry generates all atoms from Li at (0.000, 0.000, 0.000), Ge at (0.250, 0.250, 0.250) and I at (0.000, 0.000, 0.500).


Energetically preferred structure: w | next structure: +597 meV per atom


w | Material: Li2Ge2I
Method: DFT, GGA-PBE
State: relaxed

The spin magnetization comes out at 0.0 μB/f.u.

The structure belongs to space group P4/mbm (No. 127); the cell edges are 8.403, 8.403 and 3.266 Å and the angles 90.00°, 90.00° and 90.00°. Symmetry generates all atoms from Li at (0.201, 0.299, 0.000), Ge at (0.101, 0.601, 0.500) and I at (0.000, 0.000, 0.500).


x | Material: Li2Ge2I
Method: DFT, GGA-PBE
State: relaxed

The spin magnetization comes out at 0.0 μB/f.u.

The structure belongs to space group I4/mmm (No. 139); the cell edges are 4.631, 4.631 and 10.774 Å and the angles 90.00°, 90.00° and 90.00°. Symmetry generates all atoms from Li at (0.000, 0.500, 0.250), Ge at (0.000, 0.000, 0.110) and I at (0.000, 0.000, 0.500).


Energetically preferred structure: w | next structure: +173 meV per atom


w | Material: LiGeIN2
Method: DFT, GGA-PBE
State: relaxed

The spin magnetization comes out at 4.0 μB/f.u.

The structure belongs to space group P4/mmm (No. 123); the cell edges are 4.242, 4.242 and 5.238 Å and the angles 90.00°, 90.00° and 90.00°. Symmetry generates all atoms from Li at (0.000, 0.000, 0.000), Ge at (0.500, 0.500, 0.500), I at (0.000, 0.000, 0.500) and N at (0.000, 0.500, 0.000).


x | Material: LiGeIN2
Method: DFT, GGA-PBE
State: relaxed

The spin magnetization comes out at 0.0 μB/f.u.

The structure belongs to space group P4/mmm (No. 123); the cell edges are 3.746, 3.746 and 7.146 Å and the angles 90.00°, 90.00° and 90.00°. Symmetry generates all atoms from Li at (0.000, 0.000, 0.000), Ge at (0.500, 0.500, 0.500), I at (0.500, 0.500, 0.000) and N at (0.000, 0.500, 0.500).


Energetically preferred structure: x | next structure: +907 meV per atom


w | Material: LiGeIO2
Method: DFT, GGA-PBE
State: relaxed

The spin magnetization comes out at 2.0 μB/f.u.

The structure belongs to space group P4/mmm (No. 123); the cell edges are 4.090, 4.090 and 5.206 Å and the angles 90.00°, 90.00° and 90.00°. Symmetry generates all atoms from Li at (0.000, 0.000, 0.000), Ge at (0.500, 0.500, 0.500), I at (0.000, 0.000, 0.500) and O at (0.000, 0.500, 0.000).


x | Material: LiGeIO2
Method: DFT, GGA-PBE
State: relaxed

The spin magnetization comes out at 0.0 μB/f.u.

The structure belongs to space group P4/mmm (No. 123); the cell edges are 3.743, 3.743 and 6.313 Å and the angles 90.00°, 90.00° and 90.00°. Symmetry generates all atoms from Li at (0.000, 0.000, 0.000), Ge at (0.500, 0.500, 0.500), I at (0.500, 0.500, 0.000) and O at (0.000, 0.500, 0.500).


Energetically preferred structure: x | next structure: +998 meV per atom


w | Material: LiGeI2O
Method: DFT, GGA-PBE
State: relaxed

The spin magnetization comes out at 1.2 μB/f.u.

The structure belongs to space group P4/mmm (No. 123); the cell edges are 5.505, 5.505 and 3.811 Å and the angles 90.00°, 90.00° and 90.00°. Symmetry generates all atoms from Li at (0.000, 0.000, 0.000), Ge at (0.500, 0.500, 0.500), I at (0.000, 0.500, 0.000) and O at (0.000, 0.000, 0.500).


x | Material: LiGeI2O
Method: DFT, GGA-PBE
State: relaxed

The spin magnetization comes out at 0.0 μB/f.u.

The structure belongs to space group P4/mmm (No. 123); the cell edges are 5.899, 5.899 and 3.792 Å and the angles 90.00°, 90.00° and 90.00°. Symmetry generates all atoms from Li at (0.000, 0.000, 0.000), Ge at (0.500, 0.500, 0.500), I at (0.000, 0.500, 0.500) and O at (0.500, 0.500, 0.000).


Energetically preferred structure: x | next structure: +505 meV per atom


w | Material: MgGeI2
Method: DFT, GGA-PBE
State: relaxed

The spin magnetization comes out at 0.0 μB/f.u.

The structure belongs to space group Fm-3m (No. 225); the cell edges are 7.648, 7.648 and 7.648 Å and the angles 90.00°, 90.00° and 90.00°. Symmetry generates all atoms from Mg at (0.000, 0.000, 0.000), Ge at (0.000, 0.000, 0.500) and I at (0.250, 0.250, 0.250).


x | Material: MgGeI2
Method: DFT, GGA-PBE
State: relaxed

The spin magnetization comes out at 0.0 μB/f.u.

The structure belongs to space group I-42d (No. 122); the cell edges are 8.204, 8.204 and 7.485 Å and the angles 90.00°, 90.00° and 90.00°. Symmetry generates all atoms from Mg at (0.000, 0.000, 0.000), Ge at (0.000, 0.000, 0.500) and I at (0.234, 0.250, 0.125).


Energetically preferred structure: x | next structure: +109 meV per atom


w | Material: Mg2GeI
Method: DFT, GGA-PBE
State: relaxed

The spin magnetization comes out at 0.0 μB/f.u.

The structure belongs to space group Fm-3m (No. 225); the cell edges are 7.262, 7.262 and 7.262 Å and the angles 90.00°, 90.00° and 90.00°. Symmetry generates all atoms from Mg at (0.250, 0.250, 0.250), Ge at (0.000, 0.000, 0.000) and I at (0.000, 0.000, 0.500).


x | Material: Mg2GeI
Method: DFT, GGA-PBE
State: relaxed

The spin magnetization comes out at 1.0 μB/f.u.

The structure belongs to space group I-42d (No. 122); the cell edges are 6.621, 6.621 and 12.482 Å and the angles 90.00°, 90.00° and 90.00°. Symmetry generates all atoms from Mg at (0.197, 0.250, 0.125), Ge at (0.000, 0.000, 0.000) and I at (0.000, 0.000, 0.500).


Energetically preferred structure: x | next structure: +263 meV per atom


w | Material: MgGeI2N
Method: DFT, GGA-PBE
State: relaxed

The spin magnetization comes out at 1.6 μB/f.u.

The structure belongs to space group P4/mmm (No. 123); the cell edges are 5.804, 5.804 and 4.017 Å and the angles 90.00°, 90.00° and 90.00°. Symmetry generates all atoms from Mg at (0.000, 0.000, 0.000), Ge at (0.500, 0.500, 0.500), I at (0.000, 0.500, 0.000) and N at (0.000, 0.000, 0.500).


x | Material: MgGeI2N
Method: DFT, GGA-PBE
State: relaxed

The spin magnetization comes out at 0.0 μB/f.u.

The structure belongs to space group P4/mmm (No. 123); the cell edges are 5.944, 5.944 and 3.631 Å and the angles 90.00°, 90.00° and 90.00°. Symmetry generates all atoms from Mg at (0.000, 0.000, 0.000), Ge at (0.500, 0.500, 0.500), I at (0.000, 0.500, 0.500) and N at (0.500, 0.500, 0.000).


Energetically preferred structure: x | next structure: +84 meV per atom


w | Material: MgReGeI2
Method: DFT, GGA-PBE
State: relaxed

The spin magnetization comes out at 2.0 μB/f.u.

The structure belongs to space group P4/mmm (No. 123); the cell edges are 5.297, 5.297 and 5.298 Å and the angles 90.00°, 90.00° and 90.00°. Symmetry generates all atoms from Mg at (0.000, 0.000, 0.000), Re at (0.000, 0.000, 0.500), Ge at (0.500, 0.500, 0.000) and I at (0.000, 0.500, 0.500).


x | Material: MgReGeI2
Method: DFT, GGA-PBE
State: relaxed

The spin magnetization comes out at 4.9 μB/f.u.

The structure belongs to space group P4/mmm (No. 123); the cell edges are 5.648, 5.648 and 5.314 Å and the angles 90.00°, 90.00° and 90.00°. Symmetry generates all atoms from Mg at (0.000, 0.000, 0.000), Re at (0.500, 0.500, 0.500), Ge at (0.000, 0.000, 0.500) and I at (0.000, 0.500, 0.000).


Energetically preferred structure: w | next structure: +269 meV per atom


w | Material: MgGeSb2I
Method: DFT, GGA-PBE
State: relaxed

The spin magnetization comes out at 0.0 μB/f.u.

The structure belongs to space group P4/mmm (No. 123); the cell edges are 5.421, 5.421 and 5.674 Å and the angles 90.00°, 90.00° and 90.00°. Symmetry generates all atoms from Mg at (0.000, 0.000, 0.000), Ge at (0.500, 0.500, 0.500), Sb at (0.000, 0.500, 0.500) and I at (0.500, 0.500, 0.000).


x | Material: MgGeSb2I
Method: DFT, GGA-PBE
State: relaxed

The spin magnetization comes out at 0.0 μB/f.u.

The structure belongs to space group P4/mmm (No. 123); the cell edges are 5.422, 5.422 and 5.541 Å and the angles 90.00°, 90.00° and 90.00°. Symmetry generates all atoms from Mg at (0.000, 0.000, 0.000), Ge at (0.500, 0.500, 0.500), Sb at (0.000, 0.500, 0.000) and I at (0.000, 0.000, 0.500).


Energetically preferred structure: w | next structure: +101 meV per atom


w | Material: MgGeSbI2
Method: DFT, GGA-PBE
State: relaxed

The spin magnetization comes out at 0.5 μB/f.u.

The structure belongs to space group P4/mmm (No. 123); the cell edges are 5.649, 5.649 and 5.680 Å and the angles 90.00°, 90.00° and 90.00°. Symmetry generates all atoms from Mg at (0.000, 0.000, 0.000), Ge at (0.500, 0.500, 0.500), Sb at (0.500, 0.500, 0.000) and I at (0.000, 0.500, 0.500).


x | Material: MgGeSbI2
Method: DFT, GGA-PBE
State: relaxed

The spin magnetization comes out at 0.0 μB/f.u.

The structure belongs to space group P4/mmm (No. 123); the cell edges are 5.515, 5.515 and 5.697 Å and the angles 90.00°, 90.00° and 90.00°. Symmetry generates all atoms from Mg at (0.000, 0.000, 0.000), Ge at (0.500, 0.500, 0.500), Sb at (0.000, 0.000, 0.500) and I at (0.000, 0.500, 0.000).


Energetically preferred structure: w | next structure: +30 meV per atom


w | Material: MgGeTeI2
Method: DFT, GGA-PBE
State: relaxed

The spin magnetization comes out at 0.0 μB/f.u.

The structure belongs to space group P4/mmm (No. 123); the cell edges are 5.658, 5.658 and 5.625 Å and the angles 90.00°, 90.00° and 90.00°. Symmetry generates all atoms from Mg at (0.000, 0.000, 0.000), Ge at (0.500, 0.500, 0.500), Te at (0.500, 0.500, 0.000) and I at (0.000, 0.500, 0.500).


x | Material: MgGeTeI2
Method: DFT, GGA-PBE
State: relaxed

The spin magnetization comes out at 1.5 μB/f.u.

The structure belongs to space group P4/mmm (No. 123); the cell edges are 6.330, 6.330 and 5.346 Å and the angles 90.00°, 90.00° and 90.00°. Symmetry generates all atoms from Mg at (0.000, 0.000, 0.000), Ge at (0.500, 0.500, 0.000), Te at (0.000, 0.000, 0.500) and I at (0.000, 0.500, 0.500).


Energetically preferred structure: w | next structure: +422 meV per atom


w | Material: Mn3GeI
Method: DFT, GGA-PBE
State: relaxed

The spin magnetization comes out at 14.0 μB/f.u.

The structure belongs to space group Pm-3m (No. 221); the cell edges are 5.112, 5.112 and 5.112 Å and the angles 90.00°, 90.00° and 90.00°. Symmetry generates all atoms from Mn at (0.000, 0.000, 0.500), Ge at (0.000, 0.000, 0.000) and I at (0.500, 0.500, 0.500).


x | Material: Mn3GeI
Method: DFT, GGA-PBE
State: relaxed

The spin magnetization comes out at 10.3 μB/f.u.

The structure belongs to space group Pm-3m (No. 221); the cell edges are 4.895, 4.895 and 4.895 Å and the angles 90.00°, 90.00° and 90.00°. Symmetry generates all atoms from Mn at (0.000, 0.000, 0.500), Ge at (0.500, 0.500, 0.500) and I at (0.000, 0.000, 0.000).


Energetically preferred structure: w | next structure: +723 meV per atom